# MgNbTc3

MgNbTc3 after structural relaxation (PBE, Alexandria via LeMat-Bulk).

Computed properties:
Energy of formation from the pure elements   1.716 eV/atom
D(E_F)   8.41 states/eV per cell
Total DFT energy (no corrections)   -34.2 eV per cell
Total magnetization   1.63 μB/cell
Energy above the most stable polymorph in this dataset   233 meV/atom

abc: 4.4467 4.4467 4.4467
angles: 90.00 90.00 90.00
Sites, in units of the cell vectors:
Nb (0.5000, 0.5000, 0.5000)
Tc (0.0000, 0.5000, 0.0000)
Tc (0.0000, 0.0000, 0.5000)
Tc (0.5000, 0.0000, 0.0000)
Mg (0.0000, 0.0000, 0.0000)

---

# Tb6SmHo2Tm3

Tb6SmHo2Tm3 after structural relaxation (PBE, Alexandria via LeMat-Bulk).

Computed properties:
Energy of formation from the pure elements   0.018 eV/atom
D(E_F)   15.51 states/eV per cell
Total DFT energy (no corrections)   -54.9 eV per cell
Total magnetization   0.00 μB/cell

abc: 6.1312 6.1312 11.7226
angles: 94.98 94.98 119.95
Sites, in units of the cell vectors:
Tm (0.8332, 0.1668, 0.5000)
Tm (0.5000, 0.5000, 0.5000)
Tm (0.1668, 0.8332, 0.5000)
Tb (0.2492, 0.2492, 0.7479)
Tb (0.4184, 0.0847, 0.2522)
Tb (0.7508, 0.7508, 0.2521)
Tb (0.0847, 0.4184, 0.2522)
Tb (0.9153, 0.5816, 0.7478)
Tb (0.5816, 0.9153, 0.7478)
Ho (0.6667, 0.3333, 0.0000)
Ho (0.3333, 0.6667, 0.0000)
Sm (0.0000, 0.0000, 0.0000)

---

# Pr4Sm4Y3

Pr4Sm4Y3 after structural relaxation (PBE, Alexandria via LeMat-Bulk).

Computed properties:
Energy of formation from the pure elements   0.047 eV/atom
D(E_F)   19.00 states/eV per cell
Total DFT energy (no corrections)   -56.9 eV per cell
Total magnetization   0.00 μB/cell
Energy above the most stable polymorph in this dataset   33 meV/atom

abc: 3.5982 5.7484 18.5098
angles: 81.13 84.42 90.00
Sites, in units of the cell vectors:
Y (0.8630, 0.3630, 0.2730)
Y (0.1370, 0.6370, 0.7271)
Y (0.0000, 0.0000, 0.0000)
Sm (0.4089, 0.9080, 0.1815)
Sm (0.5911, 0.0920, 0.8186)
Sm (0.7329, 0.7331, 0.5340)
Sm (0.2671, 0.2670, 0.4659)
Pr (0.6806, 0.1805, 0.6397)
Pr (0.4536, 0.4522, 0.0924)
Pr (0.5465, 0.5478, 0.9076)
Pr (0.3194, 0.8195, 0.3603)

---

# EuIn2Ru

EuIn2Ru after structural relaxation (PBE, Alexandria via LeMat-Bulk).

Computed properties:
Energy of formation from the pure elements   -0.165 eV/atom
D(E_F)   1.28 states/eV per cell
Total DFT energy (no corrections)   -25.7 eV per cell
Total magnetization   7.01 μB/cell

abc: 3.3583 3.3583 7.9244
angles: 90.00 90.00 90.00
Sites, in units of the cell vectors:
In (0.0000, 0.0000, 0.1939)
In (0.0000, 0.0000, 0.8061)
Eu (0.5000, 0.5000, 0.5000)
Ru (0.5000, 0.5000, 0.0000)

---

# FeMo2Cl

FeMo2Cl after structural relaxation (PBE, Alexandria via LeMat-Bulk).

Computed properties:
D(E_F)   4.73 states/eV per cell
Total DFT energy (no corrections)   -28.2 eV per cell
Total magnetization   2.43 μB/cell
Energy above the most stable polymorph in this dataset   662 meV/atom
Uncorrected formation energy   365 kJ/mol of formula units

abc: 5.1487 5.1487 5.1487
angles: 138.57 138.57 60.03
Sites, in units of the cell vectors:
Mo (0.0000, 0.0000, 0.0000)
Mo (0.2500, 0.7500, 0.5000)
Fe (0.7500, 0.2500, 0.5000)
Cl (0.5000, 0.5000, 0.0000)

---

# CuN

CuN after structural relaxation (PBE, Alexandria via LeMat-Bulk).

Computed properties:
D(E_F)   1.64 states/eV per cell
Total DFT energy (no corrections)   -10.1 eV per cell
Total magnetization   0.00 μB/cell
Energy above the most stable polymorph in this dataset   802 meV/atom
Uncorrected formation energy   228 kJ/mol of formula units

abc: 3.2137 3.2137 2.6467
angles: 90.00 90.00 120.00
Sites, in units of the cell vectors:
N (0.0000, 0.0000, 0.5000)
Cu (0.3333, 0.6667, 0.5000)

---

# Sc2InPb

Sc2InPb after structural relaxation (PBE, Alexandria via LeMat-Bulk).

Computed properties:
Energy of formation from the pure elements   -0.042 eV/atom
D(E_F)   2.44 states/eV per cell
Total DFT energy (no corrections)   -19.3 eV per cell
Total magnetization   0.00 μB/cell

abc: 10.8048 10.8048 10.8048
angles: 18.21 18.21 18.21
Sites, in units of the cell vectors:
Pb (0.0000, 0.0000, 0.0000)
Sc (0.9064, 0.9064, 0.9064)
Sc (0.0936, 0.0936, 0.0936)
In (0.5000, 0.5000, 0.5000)

---

# Mg5Tl2In5

Mg5Tl2In5 after structural relaxation (PBE, Alexandria via LeMat-Bulk).

Computed properties:
Energy of formation from the pure elements   0.001 eV/atom
D(E_F)   5.11 states/eV per cell
Total DFT energy (no corrections)   -26.4 eV per cell
Total magnetization   0.00 μB/cell

abc: 5.0671 5.0671 14.3734
angles: 78.19 78.19 59.74
Sites, in units of the cell vectors:
Mg (0.8540, 0.8540, 0.4415)
Mg (0.6127, 0.6127, 0.1508)
Mg (0.3873, 0.3873, 0.8492)
Mg (0.1460, 0.1460, 0.5585)
Mg (0.0000, 0.0000, 0.0000)
Tl (0.9194, 0.9194, 0.2244)
Tl (0.0806, 0.0806, 0.7756)
In (0.7825, 0.7825, 0.6668)
In (0.5000, 0.5000, 0.5000)
In (0.2175, 0.2175, 0.3332)
In (0.3033, 0.3033, 0.0837)
In (0.6967, 0.6967, 0.9163)

---

# LaOsAu2

LaOsAu2 after structural relaxation (PBE, Alexandria via LeMat-Bulk).

Computed properties:
Energy of formation from the pure elements   0.512 eV/atom
D(E_F)   2.66 states/eV per cell
Total DFT energy (no corrections)   -20.7 eV per cell
Total magnetization   0.82 μB/cell

abc: 10.3258 10.3258 10.3258
angles: 16.59 16.59 16.59
Sites, in units of the cell vectors:
Au (0.4906, 0.4906, 0.4906)
Au (0.0094, 0.0094, 0.0094)
Os (0.7500, 0.7500, 0.7500)
La (0.2500, 0.2500, 0.2500)

---

# Sr4SmS5

Sr4SmS5 after structural relaxation (PBE, Alexandria via LeMat-Bulk).

Computed properties:
D(E_F)   2.72 states/eV per cell
Total DFT energy (no corrections)   -53.0 eV per cell
Total magnetization   0.00 μB/cell
Uncorrected formation energy   -2015 kJ/mol of formula units

abc: 5.9546 7.3027 7.3027
angles: 80.43 65.94 65.94
Sites, in units of the cell vectors:
Sr (0.5987, 0.6023, 0.2021)
Sr (0.8008, 0.7979, 0.6023)
Sr (0.2010, 0.2021, 0.3977)
Sr (0.4032, 0.3977, 0.7979)
S (0.7117, 0.1930, 0.3856)
S (0.5013, 0.0000, 0.0000)
S (0.0973, 0.6144, 0.1930)
S (0.2903, 0.8070, 0.6144)
S (0.9047, 0.3856, 0.8070)
Sm (0.0012, 0.0000, 0.0000)

---

# PrDy6Er5

PrDy6Er5 after structural relaxation (PBE, Alexandria via LeMat-Bulk).

Computed properties:
Energy of formation from the pure elements   0.019 eV/atom
D(E_F)   15.42 states/eV per cell
Total DFT energy (no corrections)   -55.0 eV per cell
Total magnetization   0.00 μB/cell

abc: 6.1306 6.1264 11.7405
angles: 85.03 80.03 59.98
Sites, in units of the cell vectors:
Dy (0.4178, 0.6657, 0.7478)
Dy (0.2508, 0.0000, 0.2520)
Dy (0.9164, 0.6657, 0.2522)
Dy (0.5822, 0.3343, 0.2522)
Dy (0.0836, 0.3343, 0.7478)
Dy (0.7492, 0.0000, 0.7480)
Er (0.3333, 0.3334, 0.0000)
Er (0.1670, 0.6659, 0.5000)
Er (0.5000, 0.0000, 0.5000)
Er (0.6667, 0.6666, 0.0000)
Er (0.8330, 0.3341, 0.5000)
Pr (0.0000, 0.0000, 0.0000)

---

# Mg5ScPd4

Mg5ScPd4 after structural relaxation (PBE, Alexandria via LeMat-Bulk).

Computed properties:
Energy of formation from the pure elements   -0.589 eV/atom
D(E_F)   4.69 states/eV per cell
Total DFT energy (no corrections)   -41.0 eV per cell
Total magnetization   0.27 μB/cell

abc: 3.2497 3.2497 16.6179
angles: 90.00 90.00 90.00
Sites, in units of the cell vectors:
Mg (0.5000, 0.5000, 0.1320)
Mg (0.5000, 0.5000, 0.5000)
Mg (0.5000, 0.5000, 0.6851)
Mg (0.5000, 0.5000, 0.8680)
Mg (0.5000, 0.5000, 0.3149)
Pd (0.0000, 0.0000, 0.2217)
Pd (0.0000, 0.0000, 0.4075)
Pd (0.0000, 0.0000, 0.7783)
Pd (0.0000, 0.0000, 0.5925)
Sc (0.0000, 0.0000, 0.0000)